## Ba4NaAc3S8 (PBE)

Data for crystalline Ba4NaAc3S8 at its relaxed geometry.

Computed properties:
For the magnetic moment, the calculation gives 0.000 μB per formula unit. The calculation puts the density of states at the Fermi level at 5.64 states/eV/f.u. As for the density: 5.1 g/cm³. The calculation puts the formation energy without anion corrections at -1989 meV per atom.

a b c (Å): 8.8652 8.8652 8.8652
angles (deg): 59.59 59.59 59.59
Fractional positions:
Ba (0.0000, 0.0000, 0.0000)
Ba (0.0000, 0.5000, 0.5000)
Ba (0.5000, 0.0000, 0.5000)
Ba (0.5000, 0.5000, 0.0000)
Na (0.5000, 0.5000, 0.5000)
Ac (0.0000, 0.0000, 0.5000)
Ac (0.0000, 0.5000, 0.0000)
Ac (0.5000, 0.0000, 0.0000)
S (0.2387, 0.7465, 0.7465)
S (0.2440, 0.2440, 0.2440)
S (0.2535, 0.2535, 0.7613)
S (0.2535, 0.7613, 0.2535)
S (0.7465, 0.2387, 0.7465)
S (0.7465, 0.7465, 0.2387)
S (0.7560, 0.7560, 0.7560)
S (0.7613, 0.2535, 0.2535)


## Ba2NaAcS4 (PBE)

Data for crystalline Ba2NaAcS4 at its relaxed geometry.

Computed properties:
For the magnetic moment, the calculation gives 0.000 μB per formula unit. The calculation puts the density of states at the Fermi level at 0.00 states/eV/f.u. As for the density: 4.4 g/cm³. The calculation puts the formation energy without anion corrections at -1912 meV per atom.

a b c (Å): 7.5840 4.4623 7.6560
angles (deg): 90.00 108.84 90.00
Fractional positions:
Ba (0.0000, 0.0000, 0.0000)
Ba (0.5000, 0.5000, 0.0000)
Na (0.0000, 0.5000, 0.5000)
Ac (0.5000, 0.0000, 0.5000)
S (0.2576, 0.0000, 0.7398)
S (0.2604, 0.5000, 0.2689)
S (0.7396, 0.5000, 0.7311)
S (0.7424, 0.0000, 0.2602)


## BaNaAcSb (PBE)

Data for crystalline BaNaAcSb at its relaxed geometry.

Computed properties:
For the magnetic moment, the calculation gives 0.000 μB per formula unit. The calculation puts the density of states at the Fermi level at 3.30 states/eV/f.u. As for the density: 5.8 g/cm³. The calculation puts the formation energy without anion corrections at -404 meV per atom.

a b c (Å): 8.3584 8.3584 8.3584
angles (deg): 90.00 90.00 90.00
Fractional positions:
Ba (0.0000, 0.0000, 0.0000)
Ba (0.0000, 0.5000, 0.5000)
Ba (0.5000, 0.0000, 0.5000)
Ba (0.5000, 0.5000, 0.0000)
Na (0.2500, 0.2500, 0.7500)
Na (0.2500, 0.7500, 0.2500)
Na (0.7500, 0.2500, 0.2500)
Na (0.7500, 0.7500, 0.7500)
Ac (0.0000, 0.0000, 0.5000)
Ac (0.0000, 0.5000, 0.0000)
Ac (0.5000, 0.0000, 0.0000)
Ac (0.5000, 0.5000, 0.5000)
Sb (0.2500, 0.2500, 0.2500)
Sb (0.2500, 0.7500, 0.7500)
Sb (0.7500, 0.2500, 0.7500)
Sb (0.7500, 0.7500, 0.2500)


## Ba2NaAcSe4 (PBE)

Data for crystalline Ba2NaAcSe4 at its relaxed geometry.

Computed properties:
For the magnetic moment, the calculation gives 0.000 μB per formula unit. The calculation puts the density of states at the Fermi level at 0.00 states/eV/f.u. As for the density: 5.1 g/cm³. The calculation puts the formation energy without anion corrections at -1857 meV per atom.

a b c (Å): 7.8811 4.6213 7.9314
angles (deg): 90.00 108.91 90.00
Fractional positions:
Ba (0.0000, 0.0000, 0.0000)
Ba (0.5000, 0.5000, 0.0000)
Na (0.0000, 0.5000, 0.5000)
Ac (0.5000, 0.0000, 0.5000)
Se (0.2547, 0.0000, 0.7385)
Se (0.2589, 0.5000, 0.2681)
Se (0.7411, 0.5000, 0.7319)
Se (0.7453, 0.0000, 0.2615)